The following is a DFT calculation (PBE with a Hubbard U) of an optimized crystal structure of KMoO3.

a = 4.716 Å, b = 5.837 Å, c = 6.829 Å
α = 90.00°, β = 117.35°, γ = 90.00°
Sites, in units of the cell vectors:
Mo 0.875 0.250 0.487
Mo 0.125 0.750 0.513
K 0.702 0.250 0.918
K 0.298 0.750 0.082
O 0.871 0.991 0.288
O 0.129 0.009 0.712
O 0.871 0.509 0.288
O 0.129 0.491 0.712
O 0.493 0.250 0.466
O 0.507 0.750 0.534

## Properties
* density of states at the Fermi level: 0.00 states/eV/f.u.
* M_tot: 1.00 μB per formula unit
* energy: -63.72 eV/cell